[1]
HfScGa2: relaxed, GGA-PBEsol.

```
4
Lattice="0.000 3.300 3.300 3.300 0.000 3.300 3.300 3.300 0.000" Properties=species:S:1:pos:R:3 pbc="T T T"
Hf 0.000 0.000 0.000
Sc 3.300 3.300 3.300
Ga 1.650 1.650 1.650
Ga 4.950 4.950 4.950
```

- calculated density (g/cm3) = 8.4
- DFT formation energy (eV/atom) = -0.46
- total moment (Bohr magnetons per cell) = 0.00
- total energy (eV per atom) = -6.403



[2]
Hf3ScGa12: relaxed, GGA-PBEsol.

```
16
Lattice="3.915 0.000 0.000 0.000 3.915 0.000 0.000 0.000 17.243" Properties=species:S:1:pos:R:3 pbc="T T T"
Hf 0.000 0.000 0.000
Hf 0.000 0.000 4.055
Hf 1.957 1.957 12.721
Sc 1.957 1.957 8.614
Ga 0.000 0.000 8.561
Ga 0.000 0.000 12.761
Ga 0.000 1.957 2.039
Ga 0.000 1.957 6.367
Ga 0.000 1.957 10.655
Ga 0.000 1.957 14.964
Ga 1.957 0.000 2.039
Ga 1.957 0.000 6.367
Ga 1.957 0.000 10.655
Ga 1.957 0.000 14.964
Ga 1.957 1.957 4.233
Ga 1.957 1.957 17.153
```

- calculated density (g/cm3) = 8.9
- DFT formation energy (eV/atom) = -0.48
- total moment (Bohr magnetons per cell) = 0.00
- total energy (eV per atom) = -5.366



[3]
Hf2ScGa3: relaxed, GGA-PBEsol.

```
24
Lattice="-1.891 1.935 30.137 1.891 -1.935 30.137 1.891 1.935 -30.137" Properties=species:S:1:pos:R:3 pbc="T T T"
Hf 0.000 0.000 0.000
Hf 1.891 0.000 2.781
Hf 0.000 0.000 7.895
Hf 0.000 0.000 20.016
Hf 1.891 0.000 22.856
Hf 0.000 0.000 40.125
Hf 0.000 1.935 12.816
Hf 0.000 0.000 48.060
Sc 1.891 0.000 14.998
Sc 0.000 0.000 27.981
Sc 0.000 1.935 4.966
Sc 0.000 1.935 25.008
Ga 1.891 0.000 5.612
Ga 0.000 0.000 10.610
Ga 1.891 0.000 12.255
Ga 0.000 0.000 17.262
Ga 1.891 0.000 25.676
Ga 0.000 0.000 30.707
Ga 0.000 1.935 2.231
Ga 0.000 0.000 37.370
Ga 0.000 1.935 15.640
Ga 0.000 0.000 50.775
Ga 0.000 1.935 22.277
Ga 0.000 0.000 57.448
```

- calculated density (g/cm3) = 9.2
- DFT formation energy (eV/atom) = -0.58
- total moment (Bohr magnetons per cell) = 0.00
- total energy (eV per atom) = -6.854



[4]
YHfSc2Ga: relaxed, GGA-PBEsol.

```
5
Lattice="5.017 0.000 0.000 0.000 5.017 0.000 0.000 0.000 5.305" Properties=species:S:1:pos:R:3 pbc="T T T"
Y 0.000 0.000 0.000
Hf 2.509 2.509 0.000
Sc 0.000 2.509 2.652
Sc 2.509 0.000 2.652
Ga 0.000 0.000 2.652
```

- calculated density (g/cm3) = 5.3
- DFT formation energy (eV/atom) = 0.44
- total moment (Bohr magnetons per cell) = 1.91
- total energy (eV per atom) = -6.331



[5]
HfGaSe2: relaxed, GGA-PBEsol.

```
8
Lattice="-3.316 3.316 5.273 3.316 -3.316 5.273 3.316 3.316 -5.273" Properties=species:S:1:pos:R:3 pbc="T T T"
Hf 0.000 0.000 0.000
Hf 0.000 3.316 2.636
Ga 3.316 0.000 2.636
Ga 0.000 0.000 5.273
Se 1.658 1.395 -1.318
Se 1.921 -1.658 6.591
Se 1.658 1.921 3.954
Se 1.395 4.975 1.318
```

- calculated density (g/cm3) = 5.8
- total moment (Bohr magnetons per cell) = 0.00
- total energy (eV per atom) = -5.778
- raw formation energy (eV per atom) = -0.39



[6]
SrHf3Ga: relaxed, GGA-PBEsol.

```
5
Lattice="5.013 0.000 0.000 0.000 5.013 0.000 0.000 0.000 5.013" Properties=species:S:1:pos:R:3 pbc="T T T"
Sr 0.000 0.000 0.000
Hf 0.000 0.000 2.506
Hf 0.000 2.506 0.000
Hf 2.506 0.000 0.000
Ga 2.506 2.506 2.506
```

- calculated density (g/cm3) = 9.1
- DFT formation energy (eV/atom) = 2.08
- total moment (Bohr magnetons per cell) = 0.01
- energy relative to the lowest polymorph listed for this composition (meV/atom) = 1432
- total energy (eV per atom) = -5.262



[7]
SrHf3Ga: relaxed, GGA-PBEsol.

```
5
Lattice="5.113 0.000 0.000 0.000 5.113 0.000 0.000 0.000 5.113" Properties=species:S:1:pos:R:3 pbc="T T T"
Sr 0.000 0.000 0.000
Hf 0.000 2.557 2.557
Hf 2.557 0.000 2.557
Hf 2.557 2.557 0.000
Ga 2.557 2.557 2.557
```

- calculated density (g/cm3) = 8.6
- DFT formation energy (eV/atom) = 0.64
- total moment (Bohr magnetons per cell) = 0.30
- energy relative to the lowest polymorph listed for this composition (meV/atom) = 0
- total energy (eV per atom) = -6.694



[8]
HfGa2Tc2: relaxed, GGA-PBEsol.

```
10
Lattice="6.946 0.000 0.000 0.000 6.946 0.000 0.000 0.000 3.150" Properties=species:S:1:pos:R:3 pbc="T T T"
Hf 0.000 0.000 0.000
Hf 3.473 3.473 0.000
Ga 0.893 2.580 0.000
Ga 2.580 6.053 0.000
Ga 4.365 0.893 0.000
Ga 6.053 4.365 0.000
Tc 1.166 4.638 1.575
Tc 2.307 1.166 1.575
Tc 4.638 5.780 1.575
Tc 5.780 2.307 1.575
```

- calculated density (g/cm3) = 11.2
- DFT formation energy (eV/atom) = -0.31
- total moment (Bohr magnetons per cell) = 0.00
- total energy (eV per atom) = -8.250



[9]
Hf2Ga2Tc: relaxed, GGA-PBEsol.

```
10
Lattice="6.753 0.000 0.000 0.000 6.753 0.000 0.000 0.000 3.662" Properties=species:S:1:pos:R:3 pbc="T T T"
Hf 1.191 2.186 0.000
Hf 2.186 5.562 0.000
Hf 4.567 1.191 0.000
Hf 5.562 4.567 0.000
Ga 0.864 4.240 1.831
Ga 2.512 0.864 1.831
Ga 4.240 5.889 1.831
Ga 5.889 2.512 1.831
Tc 0.000 0.000 1.831
Tc 3.376 3.376 1.831
```

- calculated density (g/cm3) = 11.8
- DFT formation energy (eV/atom) = -0.53
- total moment (Bohr magnetons per cell) = 0.00
- total energy (eV per atom) = -8.323



[10]
HfGaTe3: relaxed, GGA-PBEsol.

```
5
Lattice="5.510 0.000 0.000 0.000 5.510 0.000 0.000 0.000 5.510" Properties=species:S:1:pos:R:3 pbc="T T T"
Hf 0.000 0.000 0.000
Ga 2.755 2.755 2.755
Te 0.000 0.000 2.755
Te 0.000 2.755 0.000
Te 2.755 0.000 0.000
```

- calculated density (g/cm3) = 6.3
- total moment (Bohr magnetons per cell) = 0.00
- energy relative to the lowest polymorph listed for this composition (meV/atom) = 0
- total energy (eV per atom) = -5.027
- raw formation energy (eV per atom) = -0.14



[11]
HfGaTe3: relaxed, GGA-PBEsol.

```
5
Lattice="5.170 0.000 0.000 0.000 5.170 0.000 0.000 0.000 5.170" Properties=species:S:1:pos:R:3 pbc="T T T"
Hf 0.000 0.000 0.000
Ga 2.585 2.585 2.585
Te 0.000 2.585 2.585
Te 2.585 0.000 2.585
Te 2.585 2.585 0.000
```

- calculated density (g/cm3) = 7.6
- total moment (Bohr magnetons per cell) = 0.00
- energy relative to the lowest polymorph listed for this composition (meV/atom) = 632
- total energy (eV per atom) = -4.395
- raw formation energy (eV per atom) = 0.49



[12]
Hf2TiGa2: relaxed, GGA-PBEsol.

```
10
Lattice="6.939 0.000 0.000 0.000 6.939 0.000 0.000 0.000 3.707" Properties=species:S:1:pos:R:3 pbc="T T T"
Hf 1.217 2.253 0.000
Hf 2.253 5.722 0.000
Hf 4.686 1.217 0.000
Hf 5.722 4.686 0.000
Ti 0.000 0.000 1.853
Ti 3.469 3.469 1.853
Ga 0.883 4.352 1.853
Ga 2.587 0.883 1.853
Ga 4.352 6.056 1.853
Ga 6.056 2.587 1.853
```

- calculated density (g/cm3) = 10.1
- DFT formation energy (eV/atom) = -0.47
- total moment (Bohr magnetons per cell) = 2.15
- total energy (eV per atom) = -7.675



The highest calculated density belongs to which entry?
Hf2Ga2Tc